No. 1
An optimized crystal structure of Tl2RhC2O6, computed with PBE.

Structure (POSCAR):
```
Tl2RhC2O6
1.0
5.119 0.000 0.000
-2.559 5.893 0.332
0.000 -2.911 5.741
C O Tl Rh
2 6 2 1
Direct
0.999 0.999 0.720 C
0.001 0.001 0.280 C
0.282 0.129 0.745 O
0.114 0.229 0.319 O
0.886 0.771 0.681 O
0.847 0.129 0.745 O
0.153 0.871 0.255 O
0.718 0.871 0.255 O
0.309 0.617 0.782 Tl
0.691 0.383 0.218 Tl
0.500 0.000 0.500 Rh
```

Calculated values
Total magnetic moment: 1.02 Bohr magnetons per cell
Total energy: -71.26 eV per cell
Formation energy (no corrections): -0.998 eV per atom
Crystal system: monoclinic
V: 178.1 Å³ per cell

---

No. 2
An optimized crystal structure of Pu2PO, computed with PBE.

Structure (POSCAR):
```
Pu2PO
1.0
3.506 0.000 0.000
-1.753 6.254 0.000
0.000 0.000 6.595
Pu P O
4 2 2
Direct
0.632 0.264 0.488 Pu
0.632 0.264 0.012 Pu
0.368 0.736 0.988 Pu
0.368 0.736 0.512 Pu
0.018 0.035 0.750 P
0.982 0.965 0.250 P
0.238 0.476 0.250 O
0.762 0.524 0.750 O
```

Calculated values
Total magnetic moment: 21.93 Bohr magnetons per cell
Total energy: -90.66 eV per cell
Formation energy (no corrections): -1.574 eV per atom
Crystal system: orthorhombic
V: 144.6 Å³ per cell

---

No. 3
An optimized crystal structure of CaSmHo2, computed with PBE.

Structure (POSCAR):
```
CaSmHo2
1.0
-3.160 1.206 1.097
-2.898 -2.028 -0.357
0.039 -5.217 11.604
Ho Ca Sm
2 1 1
Direct
0.909 0.909 0.272 Ho
0.091 0.091 0.728 Ho
0.000 0.000 0.000 Ca
0.500 0.500 0.500 Sm
```

Calculated values
Total magnetic moment: 0.00 Bohr magnetons per cell
Total energy: -15.22 eV per cell
Crystal system: trigonal
E_form: 0.1652 eV/atom
V: 137.5 Å³ per cell

---

No. 4
An optimized crystal structure of NaGa2AgAu, computed with PBE.

Structure (POSCAR):
```
NaGa2AgAu
1.0
4.936 0.000 0.000
0.000 5.347 0.000
0.000 0.000 4.936
Au Ga Na Ag
1 2 1 1
Direct
0.000 0.500 0.000 Au
0.500 0.000 0.000 Ga
0.000 0.000 0.500 Ga
0.500 0.500 0.500 Na
0.000 0.000 0.000 Ag
```

Calculated values
Total magnetic moment: 0.00 Bohr magnetons per cell
Total energy: -12.56 eV per cell
Crystal system: tetragonal
E_form: 0.1885 eV/atom
V: 130.3 Å³ per cell

---

No. 5
An optimized crystal structure of BaZr2Bi, computed with PBE.

Structure (POSCAR):
```
BaZr2Bi
1.0
-2.265 -8.412 -1.827
2.299 1.229 -8.510
3.085 -4.567 -4.480
Zr Ba Bi
4 2 2
Direct
0.076 0.625 0.250 Zr
0.875 0.924 0.750 Zr
0.375 0.326 0.750 Zr
0.674 0.125 0.250 Zr
0.500 0.500 0.000 Ba
0.250 0.750 0.500 Ba
0.750 0.250 0.500 Bi
0.000 0.000 0.000 Bi
```

Calculated values
Total magnetic moment: 0.00 Bohr magnetons per cell
Total energy: -41.74 eV per cell
Crystal system: tetragonal
E_form: 0.5070 eV/atom
V: 260.8 Å³ per cell

---

No. 6
An optimized crystal structure of TbAl4PdAu2, computed with PBE.

Structure (POSCAR):
```
TbAl4PdAu2
1.0
-3.594 -2.466 -0.293
0.295 -4.343 0.361
-2.246 -1.627 8.688
Al Tb Au Pd
4 1 2 1
Direct
0.869 0.869 0.394 Al
0.402 0.402 0.795 Al
0.598 0.598 0.205 Al
0.131 0.131 0.606 Al
0.000 0.000 0.000 Tb
0.752 0.752 0.743 Au
0.248 0.248 0.257 Au
0.500 0.500 0.500 Pd
```

Calculated values
Total magnetic moment: 0.00 Bohr magnetons per cell
Total energy: -35.99 eV per cell
Crystal system: trigonal
E_form: -0.5800 eV/atom
V: 144.8 Å³ per cell

---

No. 7
An optimized crystal structure of Sm6SnO12, computed with PBE.

Structure (POSCAR):
```
Sm6SnO12
1.0
-6.362 1.742 -1.085
1.793 -1.400 -6.286
-0.981 -6.227 2.225
O Sn Sm
12 1 6
Direct
0.050 0.934 0.693 O
0.307 0.950 0.066 O
0.822 0.415 0.558 O
0.442 0.178 0.585 O
0.934 0.693 0.050 O
0.415 0.558 0.822 O
0.585 0.442 0.178 O
0.950 0.066 0.307 O
0.178 0.585 0.442 O
0.558 0.822 0.415 O
0.693 0.050 0.934 O
0.066 0.307 0.950 O
0.000 0.000 0.000 Sn
0.862 0.707 0.391 Sm
0.391 0.862 0.707 Sm
0.609 0.138 0.293 Sm
0.707 0.391 0.862 Sm
0.293 0.609 0.138 Sm
0.138 0.293 0.609 Sm
```

Calculated values
Total magnetic moment: 2.12 Bohr magnetons per cell
Total energy: -147.76 eV per cell
Formation energy (no corrections): -2.945 eV per atom
Crystal system: trigonal
V: 286.3 Å³ per cell

---

No. 8
An optimized crystal structure of KNaIn2, computed with PBE.

Structure (POSCAR):
```
KNaIn2
1.0
0.000 4.011 4.011
4.011 0.000 4.011
4.011 4.011 0.000
K In Na
1 2 1
Direct
0.500 0.500 0.500 K
0.750 0.750 0.750 In
0.250 0.250 0.250 In
0.000 0.000 0.000 Na
```

Calculated values
Total magnetic moment: 0.00 Bohr magnetons per cell
Total energy: -7.72 eV per cell
Crystal system: cubic
E_form: 0.0430 eV/atom
V: 129.1 Å³ per cell

---

No. 9
An optimized crystal structure of Sr4ScSb, computed with PBE.

Structure (POSCAR):
```
Sr4ScSb
1.0
-5.306 -2.479 3.911
-6.439 -0.616 -2.785
-2.668 -6.382 -1.324
Sr Sc Sb
4 1 1
Direct
0.625 0.125 0.625 Sr
0.625 0.625 0.625 Sr
0.625 0.625 0.125 Sr
0.125 0.625 0.625 Sr
0.000 0.000 0.000 Sc
0.250 0.250 0.250 Sb
```

Calculated values
Total magnetic moment: 1.34 Bohr magnetons per cell
Total energy: -14.87 eV per cell
Formation energy (no corrections): 0.385 eV per atom
Crystal system: cubic
V: 247.0 Å³ per cell

---

No. 10
An optimized crystal structure of Tb2Dy3Y2, computed with PBE.

Structure (POSCAR):
```
Tb2Dy3Y2
1.0
3.381 -0.997 0.102
-1.707 12.951 0.646
0.105 0.902 5.398
Dy Y Tb
3 2 2
Direct
0.327 0.551 0.724 Dy
0.000 0.000 0.000 Dy
0.673 0.449 0.276 Dy
0.427 0.284 0.858 Y
0.573 0.716 0.142 Y
0.264 0.842 0.579 Tb
0.736 0.158 0.421 Tb
```

Calculated values
Total magnetic moment: 0.00 Bohr magnetons per cell
Total energy: -35.65 eV per cell
Crystal system: orthorhombic
E_form: 0.0490 eV/atom
V: 224.8 Å³ per cell

---

No. 11
An optimized crystal structure of CaTaTl2, computed with PBE.

Structure (POSCAR):
```
CaTaTl2
1.0
6.064 -0.005 -0.007
5.195 3.127 -0.007
1.873 0.519 5.057
Ta Tl Ca
1 2 1
Direct
0.252 0.252 0.154 Ta
0.995 0.995 0.100 Tl
0.751 0.751 0.661 Tl
0.502 0.502 0.585 Ca
```

Calculated values
Total magnetic moment: 0.00 Bohr magnetons per cell
Total energy: -17.10 eV per cell
Crystal system: monoclinic
E_form: 0.3717 eV/atom
V: 96.1 Å³ per cell

---

No. 12
An optimized crystal structure of LiB2C2, computed with PBE.

Structure (POSCAR):
```
LiB2C2
1.0
4.538 0.064 -6.312
-0.017 2.739 -7.276
-0.148 -0.064 7.772
B C Li
4 4 2
Direct
0.735 0.383 0.352 B
0.219 0.867 0.352 B
0.278 0.625 0.653 B
0.785 0.125 0.660 B
0.571 0.883 0.689 C
0.940 0.625 0.315 C
0.440 0.125 0.315 C
0.056 0.367 0.689 C
0.488 0.500 0.988 Li
0.738 0.750 0.988 Li
```

Calculated values
Total magnetic moment: 0.00 Bohr magnetons per cell
Total energy: -67.80 eV per cell
Crystal system: orthorhombic
E_form: -0.0365 eV/atom
V: 92.0 Å³ per cell

---

No. 13
An optimized crystal structure of SbAsRu3, computed with PBE.

Structure (POSCAR):
```
SbAsRu3
1.0
4.564 0.000 0.000
0.000 4.564 0.000
0.000 0.000 4.564
As Ru Sb
1 3 1
Direct
0.000 0.000 0.000 As
0.000 0.000 0.500 Ru
0.000 0.500 0.000 Ru
0.500 0.000 0.000 Ru
0.500 0.500 0.500 Sb
```

Calculated values
Total magnetic moment: 0.00 Bohr magnetons per cell
Total energy: -32.62 eV per cell
Formation energy (no corrections): 0.796 eV per atom
Crystal system: cubic
V: 95.0 Å³ per cell

---

No. 14
An optimized crystal structure of MnPb2Br, computed with PBE.

Structure (POSCAR):
```
MnPb2Br
1.0
-1.369 -0.696 -7.628
-4.442 -0.948 -6.318
-1.027 4.203 -1.600
Mn Br Pb
1 1 2
Direct
0.250 0.250 0.250 Mn
0.750 0.750 0.750 Br
0.561 0.561 0.438 Pb
0.939 0.939 0.062 Pb
```

Calculated values
Total magnetic moment: 4.36 Bohr magnetons per cell
Total energy: -17.76 eV per cell
Formation energy (no corrections): 0.124 eV per atom
Crystal system: monoclinic
V: 111.8 Å³ per cell

---

No. 15
An optimized crystal structure of TbPm8Pr2, computed with PBE.

Structure (POSCAR):
```
TbPm8Pr2
1.0
6.416 1.835 1.392
2.156 9.691 3.062
2.156 5.558 8.508
Pm Tb Pr
8 1 2
Direct
0.770 0.650 0.176 Pm
0.230 0.824 0.350 Pm
0.268 0.410 0.410 Pm
0.770 0.176 0.650 Pm
0.175 0.756 0.756 Pm
0.230 0.350 0.824 Pm
0.732 0.590 0.590 Pm
0.825 0.244 0.244 Pm
0.000 0.000 0.000 Tb
0.411 0.197 0.197 Pr
0.589 0.803 0.803 Pr
```

Calculated values
Total magnetic moment: 0.00 Bohr magnetons per cell
Total energy: -50.54 eV per cell
Crystal system: monoclinic
E_form: 0.1500 eV/atom
V: 385.9 Å³ per cell

---

No. 16
An optimized crystal structure of Dy2ZnRh3, computed with PBE.

Structure (POSCAR):
```
Dy2ZnRh3
1.0
5.543 0.000 0.000
-2.772 4.801 0.000
0.000 0.000 8.102
Dy Rh Zn
4 6 2
Direct
0.333 0.667 0.941 Dy
0.667 0.333 0.441 Dy
0.333 0.667 0.559 Dy
0.667 0.333 0.059 Dy
0.168 0.337 0.250 Rh
0.168 0.832 0.250 Rh
0.832 0.168 0.750 Rh
0.663 0.832 0.250 Rh
0.832 0.663 0.750 Rh
0.337 0.168 0.750 Rh
0.000 0.000 0.500 Zn
0.000 0.000 0.000 Zn
```

Calculated values
Total magnetic moment: 0.00 Bohr magnetons per cell
Total energy: -73.87 eV per cell
Crystal system: hexagonal
E_form: -0.7336 eV/atom
V: 215.6 Å³ per cell

---

No. 17
An optimized crystal structure of Mn2InAu6, computed with PBE.

Structure (POSCAR):
```
Mn2InAu6
1.0
-0.834 -4.648 -1.276
1.939 1.955 -8.214
6.412 -2.540 5.242
In Au Mn
2 12 4
Direct
0.250 0.250 0.750 In
0.750 0.750 0.250 In
0.501 0.988 0.832 Au
0.499 0.012 0.168 Au
0.744 0.416 0.916 Au
0.001 0.832 0.988 Au
0.244 0.916 0.416 Au
0.500 0.332 0.489 Au
0.500 0.668 0.511 Au
0.000 0.489 0.332 Au
0.999 0.168 0.012 Au
0.000 0.511 0.668 Au
0.256 0.584 0.084 Au
0.756 0.084 0.584 Au
0.500 0.666 0.834 Mn
0.000 0.834 0.666 Mn
0.000 0.166 0.334 Mn
0.500 0.334 0.166 Mn
```

Calculated values
Total magnetic moment: 16.40 Bohr magnetons per cell
Total energy: -82.85 eV per cell
Crystal system: monoclinic
E_form: -0.0758 eV/atom
V: 323.2 Å³ per cell

---

No. 18
An optimized crystal structure of La3HRuCl, computed with PBE.

Structure (POSCAR):
```
La3HRuCl
1.0
-0.216 -3.020 2.488
7.224 2.900 4.145
-7.351 3.879 4.070
H La Cl Ru
2 6 2 2
Direct
0.750 0.912 0.403 H
0.250 0.088 0.597 H
0.250 0.610 0.778 La
0.250 0.079 0.863 La
0.750 0.390 0.222 La
0.750 0.921 0.137 La
0.750 0.194 0.515 La
0.250 0.806 0.485 La
0.250 0.642 0.136 Cl
0.750 0.358 0.864 Cl
0.250 0.164 0.230 Ru
0.750 0.836 0.770 Ru
```

Calculated values
Total magnetic moment: 0.00 Bohr magnetons per cell
Total energy: -68.03 eV per cell
Crystal system: monoclinic
V: 304.5 Å³ per cell

---

No. 19
An optimized crystal structure of MnCoOsAu2, computed with PBE.

Structure (POSCAR):
```
MnCoOsAu2
1.0
5.019 0.000 0.000
0.000 4.314 0.000
0.000 0.000 5.019
Mn Au Co Os
1 2 1 1
Direct
0.500 0.500 0.500 Mn
0.000 0.000 0.500 Au
0.500 0.000 0.000 Au
0.000 0.500 0.000 Co
0.000 0.000 0.000 Os
```

Calculated values
Total magnetic moment: 0.34 Bohr magnetons per cell
Total energy: -24.26 eV per cell
Crystal system: tetragonal
E_form: 1.9604 eV/atom
V: 108.7 Å³ per cell

---

No. 20
An optimized crystal structure of AlGaGe2, computed with PBE.

Structure (POSCAR):
```
AlGaGe2
1.0
3.769 0.000 0.000
1.885 3.264 0.000
1.885 1.088 6.321
Al Ge Ga
1 2 1
Direct
0.000 0.000 0.000 Al
0.251 0.251 0.247 Ge
0.749 0.749 0.753 Ge
0.500 0.500 0.500 Ga
```

Calculated values
Total magnetic moment: 0.00 Bohr magnetons per cell
Total energy: -15.34 eV per cell
Crystal system: trigonal
E_form: 0.1654 eV/atom
V: 77.8 Å³ per cell